Entry 1:
Entry from Alexandria: a relaxed structure of Sr6GaN (PBE).

Computed properties:
D(E_F)	0.8611	states/eV per atom
crystal system	monoclinic
raw formation energy	-22.73	kJ per mole of atoms
total DFT energy (no corrections)	-23.3	eV/cell

Lattice parameters (Å, degrees): 7.1714 7.1714 7.0440 97.63 97.63 114.81
Closest atoms and distances in Å follow each position.
Fractional positions:
Sr1 0.0151 0.3199 0.2458  1 N 2.64
Sr2 0.2637 0.2637 0.8224  1 N 2.64
Sr3 0.3199 0.0151 0.2458  1 N 2.64
Sr4 0.6801 0.9849 0.7542  1 N 2.64
Sr5 0.7363 0.7363 0.1776  1 N 2.64
Sr6 0.9849 0.6801 0.7542  1 N 2.64
Ga1 0.5000 0.5000 0.5000  6 Sr 3.25-3.31
N1 0.0000 0.0000 0.0000  6 Sr 2.64


Entry 2:
Entry from Alexandria: a relaxed structure of Ag2Pd3Pt (PBE).

Computed properties:
energy relative to the elements	-0.01	eV/atom
D(E_F)	1.1215	states/eV per atom
crystal system	monoclinic
total DFT energy (no corrections)	-54.8	eV/cell

Lattice parameters (Å, degrees): 8.0698 2.8075 8.5468 90.00 90.71 90.00
Closest atoms and distances in Å follow each position.
Fractional positions:
Ag1 0.1271 0.2500 0.4193  4 Ag 2.81-2.85, 6 Pd 2.82-2.86, 2 Pt 2.83
Ag2 0.3722 0.7500 0.9170  4 Ag 2.81-2.86, 5 Pd 2.81-2.87, 3 Pt 2.84-2.89
Ag3 0.6278 0.2500 0.0830  4 Ag 2.81-2.86, 5 Pd 2.81-2.87, 3 Pt 2.84-2.89
Ag4 0.8729 0.7500 0.5807  4 Ag 2.81-2.85, 6 Pd 2.82-2.86, 2 Pt 2.83
Pd1 0.1213 0.2500 0.0861  7 Pd 2.81-2.88, 2 Pt 2.82, 3 Ag 2.85-2.87
Pd2 0.1260 0.2500 0.7495  7 Pd 2.81-2.88, 5 Ag 2.81-2.85
Pd3 0.3817 0.7500 0.5871  3 Pt 2.79-2.88, 6 Pd 2.81-2.87, 3 Ag 2.82-2.86
Pd4 0.6183 0.2500 0.4129  3 Pt 2.79-2.88, 6 Pd 2.81-2.87, 3 Ag 2.82-2.86
Pd5 0.8740 0.7500 0.2505  7 Pd 2.81-2.88, 5 Ag 2.81-2.85
Pd6 0.8787 0.7500 0.9139  7 Pd 2.81-2.88, 2 Pt 2.82, 3 Ag 2.85-2.87
Pt1 0.3716 0.7500 0.2498  5 Pd 2.79-2.88, 2 Pt 2.81, 5 Ag 2.83-2.89
Pt2 0.6284 0.2500 0.7502  5 Pd 2.79-2.88, 2 Pt 2.81, 5 Ag 2.83-2.89


Entry 3:
Entry from Alexandria: a relaxed structure of AcTbThMg (PBE).

Computed properties:
energy relative to the elements	0.22	eV/atom
D(E_F)	1.5975	states/eV per atom
crystal system	cubic
total DFT energy (no corrections)	-16.9	eV/cell

Lattice parameters (Å, degrees): 5.7132 5.7132 5.7132 60.00 60.00 60.00
Closest atoms and distances in Å follow each position.
Fractional positions:
Ac1 0.0000 0.0000 0.0000  4 Tb 3.50, 4 Th 3.50
Tb1 0.7500 0.7500 0.7500  4 Ac 3.50, 4 Mg 3.50
Th1 0.2500 0.2500 0.2500  4 Ac 3.50, 4 Mg 3.50
Mg1 0.5000 0.5000 0.5000  4 Tb 3.50, 4 Th 3.50


Entry 4:
Entry from Alexandria: a relaxed structure of CeErPt2 (PBE).

Computed properties:
energy relative to the elements	-1.08	eV/atom
D(E_F)	1.2636	states/eV per atom
crystal system	trigonal
total DFT energy (no corrections)	-26.9	eV/cell

Lattice parameters (Å, degrees): 7.2988 7.2988 7.2988 31.98 31.98 31.98
Closest atoms and distances in Å follow each position.
Fractional positions:
Ce1 0.0000 0.0000 0.0000  6 Pt 2.88-2.94
Er1 0.8282 0.8282 0.8282  6 Pt 2.84-2.91
Pt1 0.4158 0.4158 0.4158  3 Er 2.84, 3 Ce 2.88
Pt2 0.5794 0.5794 0.5794  3 Er 2.91, 3 Ce 2.94